This record from Alexandria describes Cs2ZrBPd after structural relaxation. The functional is GGA-PBE. Values from VASP.

Output
**Crystal system**: tetragonal
**Formation energy from the elements**: 5.60 eV per formula unit
**Symmetry**: P4/mmm, No. 123

```
&SYSTEM
  ibrav = 0, nat = 5, ntyp = 4
/
ATOMIC_SPECIES
Cs 132.91 Cs.upf
Zr 91.22 Zr.upf
B 10.81 B.upf
Pd 106.42 Pd.upf
CELL_PARAMETERS angstrom
6.999 0.000 0.000
0.000 6.999 0.000
0.000 0.000 3.945
ATOMIC_POSITIONS crystal
Cs 0.000 0.500 0.000
Cs 0.500 0.000 0.000
Zr 0.000 0.000 0.500
B 0.500 0.500 0.000
Pd 0.500 0.500 0.500
```

This record from Alexandria describes Cs2PmB2S6 after structural relaxation. The functional is GGA-PBE. Values from VASP.

Output
**Crystal system**: monoclinic
**Raw formation energy**: -0.98 eV per atom
**Symmetry**: C2/m, No. 12

```
&SYSTEM
  ibrav = 0, nat = 11, ntyp = 4
/
ATOMIC_SPECIES
Cs 132.91 Cs.upf
Pm 145.00 Pm.upf
B 10.81 B.upf
S 32.06 S.upf
CELL_PARAMETERS angstrom
5.942 -3.430 0.000
5.942 3.430 0.000
-3.956 0.000 8.024
ATOMIC_POSITIONS crystal
Cs 0.209 0.209 0.128
Cs 0.791 0.791 0.872
Pm 0.000 0.000 0.500
B 0.405 0.405 0.713
B 0.595 0.595 0.287
S 0.256 0.256 0.725
S 0.257 0.714 0.726
S 0.286 0.743 0.274
S 0.714 0.257 0.726
S 0.743 0.286 0.274
S 0.744 0.744 0.275
```

This record from Alexandria describes CsPr2B2S6 after structural relaxation. The functional is GGA-PBE. Values from VASP.

Output
**Crystal system**: monoclinic
**Raw formation energy**: -1.10 eV per atom
**Symmetry**: C2/m, No. 12

```
&SYSTEM
  ibrav = 0, nat = 11, ntyp = 4
/
ATOMIC_SPECIES
Cs 132.91 Cs.upf
Pr 140.91 Pr.upf
B 10.81 B.upf
S 32.06 S.upf
CELL_PARAMETERS angstrom
6.498 -3.671 0.000
6.498 3.671 0.000
-3.622 0.000 6.711
ATOMIC_POSITIONS crystal
Cs 0.000 0.000 0.000
Pr 0.329 0.329 0.672
Pr 0.671 0.671 0.328
B 0.349 0.349 0.258
B 0.651 0.651 0.742
S 0.109 0.534 0.351
S 0.424 0.424 0.106
S 0.466 0.891 0.649
S 0.534 0.109 0.351
S 0.576 0.576 0.894
S 0.891 0.466 0.649
```

This record from Alexandria describes Cs2PrB2S6 after structural relaxation. The functional is GGA-PBE. Values from VASP.

Output
**Crystal system**: trigonal
**Raw formation energy**: -0.98 eV per atom
**Symmetry**: R-3m, No. 166

```
&SYSTEM
  ibrav = 0, nat = 11, ntyp = 4
/
ATOMIC_SPECIES
Cs 132.91 Cs.upf
Pr 140.91 Pr.upf
B 10.81 B.upf
S 32.06 S.upf
CELL_PARAMETERS angstrom
3.449 1.991 8.080
-3.449 1.991 8.080
0.000 -3.983 8.080
ATOMIC_POSITIONS crystal
Cs 0.209 0.209 0.209
Cs 0.791 0.791 0.791
Pr 0.000 0.000 0.000
B 0.406 0.406 0.406
B 0.594 0.594 0.594
S 0.258 0.258 0.713
S 0.258 0.713 0.258
S 0.287 0.742 0.742
S 0.713 0.258 0.258
S 0.742 0.287 0.742
S 0.742 0.742 0.287
```

Number 1: calculated density 4.08 g/cm³. Number 2: calculated density 3.17 g/cm³. Number 3: calculated density 3.26 g/cm³. Number 4: calculated density 3.10 g/cm³.